1.
Computed, not measured: a geometry-optimized Tl2AsIr structure at the PBE level of DFT.

Results
Energy: -3.91 eV/atom
DOS(E_F): 1.94 states/eV/f.u.
Magnetization: 0.000 μB per cell
Polymorph energy (0 for the lowest one): 608 meV/atom

Unit cell a=4.927 b=4.927 c=4.927 alpha=60.00 beta=60.00 gamma=60.00
Atoms (fractional coordinates):
Tl 0.250 0.250 0.250
Tl 0.750 0.750 0.750
As 0.000 0.000 0.000
Ir 0.500 0.500 0.500

2.
Computed, not measured: a geometry-optimized TlAsIr3 structure at the PBE level of DFT.

Results
Energy: -4.30 eV/atom
DOS(E_F): 6.37 states/eV/f.u.
Magnetization: 1.974 μB per cell
Polymorph energy (0 for the lowest one): 1421 meV/atom

Unit cell a=4.959 b=4.959 c=4.959 alpha=90.00 beta=90.00 gamma=90.00
Atoms (fractional coordinates):
Tl 0.000 0.000 0.000
As 0.500 0.500 0.500
Ir 0.000 0.000 0.500
Ir 0.000 0.500 0.000
Ir 0.500 0.000 0.000

3.
Computed, not measured: a geometry-optimized Tl2AsIr structure at the PBE level of DFT.

Results
Energy: -3.80 eV/atom
DOS(E_F): 0.00 states/eV/f.u.
Magnetization: 0.000 μB per cell
Polymorph energy (0 for the lowest one): 714 meV/atom

Unit cell a=7.725 b=7.725 c=7.725 alpha=132.30 beta=132.30 gamma=69.76
Atoms (fractional coordinates):
Tl 0.112 0.625 0.987
Tl 0.375 0.362 0.487
Tl 0.638 0.125 0.013
Tl 0.875 0.888 0.513
As 0.250 0.750 0.500
As 0.500 0.500 0.000
Ir 0.000 0.000 0.000
Ir 0.750 0.250 0.500

4.
Computed, not measured: a geometry-optimized Tl2AsIr structure at the PBE level of DFT.

Results
Energy: -4.02 eV/atom
DOS(E_F): 2.33 states/eV/f.u.
Magnetization: 0.000 μB per cell
Polymorph energy (0 for the lowest one): 501 meV/atom

Unit cell a=3.160 b=3.160 c=8.655 alpha=90.00 beta=90.00 gamma=90.00
Atoms (fractional coordinates):
Tl 0.000 0.000 0.217
Tl 0.000 0.000 0.783
As 0.500 0.500 0.500
Ir 0.500 0.500 0.000

| no. | ΔH_f (0 K) (eV per atom) |
| --- | --- |
| 1 | 0.65 |
| 2 | 2.42 |
| 3 | 0.76 |
| 4 | 0.54 |